Compound: Rb4Sb
Source: Alexandria via LeMat-Bulk
Functional: PBE-GGA
Structure: optimized geometry

uncorrected energy	-1.74	eV per atom
density of states at the Fermi level	5.7	states/eV/cell
E_form (uncorrected)	-143	meV per atom
calculated volume	75.75	Å³ per atom
spin magnetization	0.5	μB per formula unit
SG	Pm-3m (221)

a = 7.2351 Å, b = 7.2351 Å, c = 7.2351 Å
α = 90.00°, β = 90.00°, γ = 90.00°
With the nearest neighbours (Å) after each atom.
Atoms (fractional coordinates):
Rb 0.0000 0.0000 0.0000  12 Rb 5.12
Rb 0.0000 0.5000 0.5000  2 Sb 3.62
Rb 0.5000 0.0000 0.5000  2 Sb 3.62
Rb 0.5000 0.5000 0.0000  2 Sb 3.62
Sb 0.5000 0.5000 0.5000  6 Rb 3.62

***

Compound: KSi2Br
Source: Alexandria via LeMat-Bulk
Functional: PBE-GGA
Structure: optimized geometry

uncorrected energy	-3.52	eV per atom
density of states at the Fermi level	0.0	states/eV/cell
E_form (uncorrected)	-111	meV per atom
energy above the most stable polymorph in this dataset	284.1	meV/atom
calculated volume	33.04	Å³ per atom
spin magnetization	0.0	μB per formula unit
SG	C2/m (12)

a = 13.6522 Å, b = 3.8885 Å, c = 5.3734 Å
α = 90.00°, β = 112.10°, γ = 90.00°
With the nearest neighbours (Å) after each atom.
Atoms (fractional coordinates):
K 0.0000 0.0000 0.0000  4 Br 3.32, 4 Si 3.70
K 0.5000 0.5000 0.0000  4 Br 3.32, 4 Si 3.70
Si 0.2128 0.5000 0.8975  2 Si 2.28
Si 0.2872 0.0000 0.1025  2 Si 2.28
Si 0.7128 0.0000 0.8975  2 Si 2.28
Si 0.7872 0.5000 0.1025  2 Si 2.28
Br 0.0000 0.5000 0.5000  2 Si 2.89
Br 0.5000 0.0000 0.5000  2 Si 2.89

***

Compound: Cs4KCr3Br12
Source: Alexandria via LeMat-Bulk
Functional: PBE-GGA
Structure: optimized geometry

uncorrected energy	-3.92	eV per atom
density of states at the Fermi level	2.7	states/eV/cell
E_form (uncorrected)	-1247	meV per atom
calculated volume	33.85	Å³ per atom
spin magnetization	11.0	μB per formula unit
SG	Im-3m (229)

a = 9.5809 Å, b = 9.5809 Å, c = 9.5809 Å
α = 109.47°, β = 109.47°, γ = 109.47°
With the nearest neighbours (Å) after each atom.
Atoms (fractional coordinates):
Cs 0.0000 0.0000 0.5000  12 Br 3.91-3.92
Cs 0.0000 0.5000 0.0000  12 Br 3.91-3.92
Cs 0.5000 0.0000 0.0000  12 Br 3.91-3.92
Cs 0.5000 0.5000 0.5000  12 Br 3.91-3.92
K 0.0000 0.0000 0.0000  6 Br 3.06
Cr 0.0000 0.5000 0.5000  6 Br 2.47-2.77
Cr 0.5000 0.0000 0.5000  6 Br 2.47-2.77
Cr 0.5000 0.5000 0.0000  6 Br 2.47-2.77
Br 0.0000 0.2768 0.2768  1 Cr 2.47
Br 0.0000 0.7232 0.7232  1 Cr 2.47
Br 0.2500 0.5000 0.7500  2 Cr 2.77
Br 0.2500 0.7500 0.5000  2 Cr 2.77
Br 0.2768 0.0000 0.2768  1 Cr 2.47
Br 0.2768 0.2768 0.0000  1 Cr 2.47
Br 0.5000 0.2500 0.7500  2 Cr 2.77
Br 0.5000 0.7500 0.2500  2 Cr 2.77
Br 0.7232 0.0000 0.7232  1 Cr 2.47
Br 0.7232 0.7232 0.0000  1 Cr 2.47
Br 0.7500 0.2500 0.5000  2 Cr 2.77
Br 0.7500 0.5000 0.2500  2 Cr 2.77

***

Compound: V5GaB
Source: Alexandria via LeMat-Bulk
Functional: PBE-GGA
Structure: optimized geometry

uncorrected energy	-7.95	eV per atom
density of states at the Fermi level	13.4	states/eV/cell
formation energy	-0.049	eV per atom
calculated volume	13.09	Å³ per atom
spin magnetization	0.0	μB per formula unit
SG	C2/c (15)

a = 5.0283 Å, b = 5.0283 Å, c = 7.4100 Å
α = 97.46°, β = 97.46°, γ = 94.70°
With the nearest neighbours (Å) after each atom.
Atoms (fractional coordinates):
V 0.1077 0.6349 0.3650  1 B 2.12
V 0.1148 0.8852 0.7500  2 B 2.04
V 0.1791 0.3744 0.9750  1 B 2.06
V 0.3651 0.8923 0.1350  1 B 2.12
V 0.3744 0.1791 0.4750  1 B 2.06
V 0.6256 0.8209 0.5250  1 B 2.06
V 0.6349 0.1077 0.8650  1 B 2.12
V 0.8209 0.6256 0.0250  1 B 2.06
V 0.8852 0.1148 0.2500  2 B 2.04
V 0.8923 0.3651 0.6350  1 B 2.12
Ga 0.4519 0.5481 0.7500  7 V 2.49-2.66
Ga 0.5481 0.4519 0.2500  7 V 2.49-2.66
B 0.0000 0.0000 0.0000  6 V 2.04-2.12
B 0.0000 0.0000 0.5000  6 V 2.04-2.12